[1]
A plane-wave DFT calculation with PBE was carried out for CaMnSe2 after structural relaxation.

Cell: 3.682 3.770 13.457 Å, 90.00 90.00 90.00°
Atoms (fractional coordinates):
Ca (0.000, 0.000, 0.000)
Ca (0.500, 0.500, 0.500)
Mn (0.000, 0.500, 0.752)
Mn (0.500, 0.000, 0.252)
Se (0.000, 0.000, 0.403)
Se (0.000, 0.500, 0.173)
Se (0.500, 0.000, 0.673)
Se (0.500, 0.500, 0.903)

Calculated values
- Uncorrected formation energy: -0.98 eV per atom
- E above lowest polymorph: 183 meV per atom

***

[2]
A plane-wave DFT calculation with PBE was carried out for CaMnSe2 after structural relaxation.

Cell: 5.981 5.981 11.545 Å, 90.00 90.00 90.00°
Atoms (fractional coordinates):
Ca (0.000, 0.000, 0.000)
Ca (0.000, 0.500, 0.250)
Ca (0.500, 0.000, 0.750)
Ca (0.500, 0.500, 0.500)
Mn (0.000, 0.000, 0.500)
Mn (0.000, 0.500, 0.750)
Mn (0.500, 0.000, 0.250)
Mn (0.500, 0.500, 0.000)
Se (0.172, 0.250, 0.625)
Se (0.250, 0.672, 0.875)
Se (0.250, 0.828, 0.375)
Se (0.328, 0.250, 0.125)
Se (0.672, 0.750, 0.125)
Se (0.750, 0.172, 0.375)
Se (0.750, 0.328, 0.875)
Se (0.828, 0.750, 0.625)

Calculated values
- Uncorrected formation energy: -0.63 eV per atom
- E above lowest polymorph: 536 meV per atom

***

[3]
A plane-wave DFT calculation with PBE was carried out for CaMnSe2 after structural relaxation.

Cell: 4.046 4.046 5.797 Å, 90.00 90.00 90.00°
Atoms (fractional coordinates):
Ca (0.000, 0.000, 0.000)
Mn (0.500, 0.500, 0.529)
Se (0.000, 0.000, 0.498)
Se (0.500, 0.500, 0.990)

Calculated values
- Uncorrected formation energy: -1.11 eV per atom
- E above lowest polymorph: 47 meV per atom

***

[4]
A plane-wave DFT calculation with PBE was carried out for CaMnSe2 after structural relaxation.

Cell: 3.988 3.988 6.766 Å, 90.00 90.00 120.00°
Atoms (fractional coordinates):
Ca (0.000, 0.000, 0.000)
Mn (0.000, 0.000, 0.500)
Se (0.333, 0.667, 0.275)
Se (0.667, 0.333, 0.725)

Calculated values
- Uncorrected formation energy: -1.14 eV per atom
- E above lowest polymorph: 18 meV per atom

***

[5]
A plane-wave DFT calculation with PBE was carried out for CaMn3Se after structural relaxation.

Cell: 4.916 4.916 4.916 Å, 90.00 90.00 90.00°
Atoms (fractional coordinates):
Ca (0.000, 0.000, 0.000)
Mn (0.000, 0.000, 0.500)
Mn (0.000, 0.500, 0.000)
Mn (0.500, 0.000, 0.000)
Se (0.500, 0.500, 0.500)

Calculated values
- Uncorrected formation energy: 1.72 eV per atom
- E above lowest polymorph: 1402 meV per atom

***

[6]
A plane-wave DFT calculation with PBE was carried out for CaMnSe4 after structural relaxation.

Cell: 5.844 5.844 5.844 Å, 60.00 60.00 60.00°
Atoms (fractional coordinates):
Ca (0.000, 0.000, 0.000)
Mn (0.750, 0.750, 0.750)
Se (0.376, 0.376, 0.376)
Se (0.376, 0.376, 0.873)
Se (0.376, 0.873, 0.376)
Se (0.873, 0.376, 0.376)

Calculated values
- Uncorrected formation energy: 0.15 eV per atom

***

[7]
A plane-wave DFT calculation with PBE was carried out for Ca2MnSe after structural relaxation.

Cell: 6.900 3.989 8.467 Å, 90.00 105.83 90.00°
Atoms (fractional coordinates):
Ca (0.240, 0.000, 0.220)
Ca (0.260, 0.500, 0.780)
Ca (0.740, 0.500, 0.220)
Ca (0.760, 0.000, 0.780)
Mn (0.000, 0.000, 0.500)
Mn (0.500, 0.500, 0.500)
Se (0.000, 0.500, 0.000)
Se (0.500, 0.000, 0.000)

Calculated values
- Uncorrected formation energy: -0.47 eV per atom

***

[8]
A plane-wave DFT calculation with PBE was carried out for CaMn3Se after structural relaxation.

Cell: 4.656 4.656 4.656 Å, 90.00 90.00 90.00°
Atoms (fractional coordinates):
Ca (0.000, 0.000, 0.000)
Mn (0.000, 0.500, 0.500)
Mn (0.500, 0.000, 0.500)
Mn (0.500, 0.500, 0.000)
Se (0.500, 0.500, 0.500)

Calculated values
- Uncorrected formation energy: 0.31 eV per atom
- E above lowest polymorph: 0 meV per atom